Record 1
# Sm6CdOs2

An optimized crystal structure of Sm6CdOs2 (PBE-GGA, Alexandria via LeMat-Bulk).

Summary:
SG = Immm, No. 71
energy of formation from the pure elements = -0.18 eV/atom
magnetic moment = 0.000 μB per formula unit
theoretical density = 9.29 Mg/m³

abc: 8.670 8.670 8.670
angles: 112.49 111.49 104.54
Positions (direct):
1 Sm 0.035 0.241 0.794
2 Sm 0.185 0.280 0.464
3 Sm 0.185 0.720 0.905
4 Sm 0.328 0.015 0.686
5 Sm 0.328 0.642 0.314
6 Sm 0.446 0.241 0.206
7 Sm 0.554 0.759 0.794
8 Sm 0.672 0.358 0.686
9 Sm 0.672 0.985 0.314
10 Sm 0.815 0.280 0.095
11 Sm 0.815 0.720 0.536
12 Sm 0.965 0.759 0.206
13 Cd 0.000 0.000 0.000
14 Cd 0.500 0.500 0.000
15 Os 0.118 0.618 0.500
16 Os 0.327 0.000 0.327
17 Os 0.673 0.000 0.673
18 Os 0.882 0.382 0.500

=====

Record 2
# Sm4Cd3Os

An optimized crystal structure of Sm4Cd3Os (PBE-GGA, Alexandria via LeMat-Bulk).

Summary:
SG = Im-3m, No. 229
energy of formation from the pure elements = -0.19 eV/atom
magnetic moment = 0.000 μB per formula unit
theoretical density = 9.22 Mg/m³

abc: 6.417 6.417 6.417
angles: 109.47 109.47 109.47
Positions (direct):
1 Sm 0.000 0.000 0.500
2 Sm 0.000 0.500 0.000
3 Sm 0.500 0.000 0.000
4 Sm 0.500 0.500 0.500
5 Cd 0.000 0.500 0.500
6 Cd 0.500 0.000 0.500
7 Cd 0.500 0.500 0.000
8 Os 0.000 0.000 0.000

=====

Record 3
# Sm3CdOs

An optimized crystal structure of Sm3CdOs (PBE-GGA, Alexandria via LeMat-Bulk).

Summary:
SG = Pm-3m, No. 221
energy of formation from the pure elements = 0.01 eV/atom
magnetic moment = 0.000 μB per formula unit
theoretical density = 7.59 Mg/m³

abc: 5.483 5.483 5.483
angles: 90.00 90.00 90.00
Positions (direct):
1 Sm 0.000 0.000 0.500
2 Sm 0.000 0.500 0.000
3 Sm 0.500 0.000 0.000
4 Cd 0.500 0.500 0.500
5 Os 0.000 0.000 0.000

=====

Record 4
# Sm6Cd2Os

An optimized crystal structure of Sm6Cd2Os (PBE-GGA, Alexandria via LeMat-Bulk).

Summary:
SG = Immm, No. 71
energy of formation from the pure elements = -0.11 eV/atom
magnetic moment = 0.000 μB per formula unit
theoretical density = 8.46 Mg/m³

abc: 8.769 8.769 8.769
angles: 113.16 109.20 106.14
Positions (direct):
1 Sm 0.076 0.243 0.833
2 Sm 0.182 0.270 0.451
3 Sm 0.182 0.730 0.912
4 Sm 0.262 0.594 0.332
5 Sm 0.262 0.929 0.668
6 Sm 0.410 0.243 0.167
7 Sm 0.590 0.757 0.833
8 Sm 0.738 0.071 0.332
9 Sm 0.738 0.406 0.668
10 Sm 0.818 0.270 0.088
11 Sm 0.818 0.730 0.549
12 Sm 0.924 0.757 0.167
13 Cd 0.360 0.000 0.360
14 Cd 0.500 0.356 0.856
15 Cd 0.500 0.644 0.144
16 Cd 0.640 0.000 0.640
17 Os 0.000 0.000 0.000
18 Os 0.000 0.500 0.500

=====

Record 5
# TbSmCdOs

An optimized crystal structure of TbSmCdOs (PBE-GGA, Alexandria via LeMat-Bulk).

Summary:
SG = P4mm, No. 99
energy of formation from the pure elements = -0.24 eV/atom
magnetic moment = 0.000 μB per formula unit
theoretical density = 10.58 Mg/m³

abc: 3.482 3.482 7.924
angles: 90.00 90.00 90.00
Positions (direct):
1 Tb 0.000 0.000 0.000
2 Sm 0.000 0.000 0.426
3 Cd 0.500 0.500 0.720
4 Os 0.500 0.500 0.208

=====

Record 6
# TbSmCdOs

An optimized crystal structure of TbSmCdOs (PBE-GGA, Alexandria via LeMat-Bulk).

Summary:
SG = F-43m, No. 216
energy of formation from the pure elements = -0.15 eV/atom
magnetic moment = 0.000 μB per formula unit
theoretical density = 10.98 Mg/m³

abc: 5.078 5.078 5.078
angles: 60.00 60.00 60.00
Positions (direct):
1 Tb 0.000 0.000 0.000
2 Sm 0.500 0.500 0.500
3 Cd 0.750 0.750 0.750
4 Os 0.250 0.250 0.250

=====

Record 7
# SmThCdOs

An optimized crystal structure of SmThCdOs (PBE-GGA, Alexandria via LeMat-Bulk).

Summary:
SG = F-43m, No. 216
energy of formation from the pure elements = -0.09 eV/atom
magnetic moment = 0.000 μB per formula unit
theoretical density = 11.61 Mg/m³

abc: 5.175 5.175 5.175
angles: 60.00 60.00 60.00
Positions (direct):
1 Sm 0.000 0.000 0.000
2 Th 0.500 0.500 0.500
3 Cd 0.750 0.750 0.750
4 Os 0.250 0.250 0.250

=====

Record 8
# SmTmCdOs

An optimized crystal structure of SmTmCdOs (PBE-GGA, Alexandria via LeMat-Bulk).

Summary:
SG = F-43m, No. 216
energy of formation from the pure elements = -0.18 eV/atom
magnetic moment = 0.000 μB per formula unit
theoretical density = 11.44 Mg/m³

abc: 5.036 5.036 5.036
angles: 60.00 60.00 60.00
Positions (direct):
1 Sm 0.000 0.000 0.000
2 Tm 0.500 0.500 0.500
3 Cd 0.250 0.250 0.250
4 Os 0.750 0.750 0.750

=====

Record 9
# SmTmCdOs

An optimized crystal structure of SmTmCdOs (PBE-GGA, Alexandria via LeMat-Bulk).

Summary:
SG = P4mm, No. 99
energy of formation from the pure elements = -0.28 eV/atom
magnetic moment = 0.000 μB per formula unit
theoretical density = 11.04 Mg/m³

abc: 3.459 3.459 7.821
angles: 90.00 90.00 90.00
Positions (direct):
1 Sm 0.000 0.000 0.000
2 Tm 0.000 0.000 0.574
3 Cd 0.500 0.500 0.301
4 Os 0.500 0.500 0.776

=====

Record 10
# CdSnOs3

An optimized crystal structure of CdSnOs3 (PBE-GGA, Alexandria via LeMat-Bulk).

Summary:
SG = Pm-3m, No. 221
energy of formation from the pure elements = 2.43 eV/atom
magnetic moment = 2.744 μB per formula unit
theoretical density = 11.60 Mg/m³

abc: 4.860 4.860 4.860
angles: 90.00 90.00 90.00
Positions (direct):
1 Cd 0.000 0.000 0.000
2 Sn 0.500 0.500 0.500
3 Os 0.000 0.500 0.500
4 Os 0.500 0.000 0.500
5 Os 0.500 0.500 0.000

=====

Record 11
# CdSnOs2

An optimized crystal structure of CdSnOs2 (PBE-GGA, Alexandria via LeMat-Bulk).

Summary:
SG = I-42d, No. 122
energy of formation from the pure elements = 1.12 eV/atom
magnetic moment = 0.000 μB per formula unit
theoretical density = 13.34 Mg/m³

abc: 5.970 5.970 5.970
angles: 101.55 101.55 126.85
Positions (direct):
1 Cd 0.000 0.000 0.000
2 Cd 0.750 0.250 0.500
3 Sn 0.250 0.750 0.500
4 Sn 0.500 0.500 0.000
5 Os 0.139 0.625 0.014
6 Os 0.375 0.389 0.514
7 Os 0.611 0.125 0.986
8 Os 0.875 0.861 0.486

=====

Record 12
# YCdSnOs2

An optimized crystal structure of YCdSnOs2 (PBE-GGA, Alexandria via LeMat-Bulk).

Summary:
SG = P4/mmm, No. 123
energy of formation from the pure elements = 2.05 eV/atom
magnetic moment = 1.751 μB per formula unit
theoretical density = 8.31 Mg/m³

abc: 5.004 5.004 5.592
angles: 90.00 90.00 90.00
Positions (direct):
1 Y 0.000 0.000 0.000
2 Cd 0.500 0.500 0.500
3 Sn 0.000 0.000 0.500
4 Os 0.000 0.500 0.000
5 Os 0.500 0.000 0.000

=====

Record 13
# YCdSnOs2

An optimized crystal structure of YCdSnOs2 (PBE-GGA, Alexandria via LeMat-Bulk).

Summary:
SG = P4/mmm, No. 123
energy of formation from the pure elements = 1.60 eV/atom
magnetic moment = 0.000 μB per formula unit
theoretical density = 9.48 Mg/m³

abc: 4.973 4.973 4.963
angles: 90.00 90.00 90.00
Positions (direct):
1 Y 0.000 0.000 0.000
2 Cd 0.500 0.500 0.500
3 Sn 0.500 0.500 0.000
4 Os 0.000 0.500 0.500
5 Os 0.500 0.000 0.500

=====

Record 14
# Zn2CdSnOs

An optimized crystal structure of Zn2CdSnOs (PBE-GGA, Alexandria via LeMat-Bulk).

Summary:
SG = P4/mmm, No. 123
energy of formation from the pure elements = 1.23 eV/atom
magnetic moment = 1.691 μB per formula unit
theoretical density = 7.12 Mg/m³

abc: 5.011 5.011 5.131
angles: 90.00 90.00 90.00
Positions (direct):
1 Zn 0.000 0.500 0.000
2 Zn 0.500 0.000 0.000
3 Cd 0.000 0.000 0.500
4 Sn 0.500 0.500 0.000
5 Os 0.500 0.500 0.500

=====

Record 15
# SrCdOs4

An optimized crystal structure of SrCdOs4 (PBE-GGA, Alexandria via LeMat-Bulk).

Summary:
SG = F-43m, No. 216
energy of formation from the pure elements = 0.57 eV/atom
magnetic moment = 0.690 μB per formula unit
theoretical density = 14.57 Mg/m³

abc: 5.371 5.371 5.371
angles: 60.00 60.00 60.00
Positions (direct):
1 Sr 0.000 0.000 0.000
2 Cd 0.750 0.750 0.750
3 Os 0.376 0.376 0.376
4 Os 0.376 0.376 0.874
5 Os 0.376 0.874 0.376
6 Os 0.874 0.376 0.376

=====

Record 16
# SrCdOs3

An optimized crystal structure of SrCdOs3 (PBE-GGA, Alexandria via LeMat-Bulk).

Summary:
SG = Pm-3m, No. 221
energy of formation from the pure elements = 2.37 eV/atom
magnetic moment = 2.966 μB per formula unit
theoretical density = 10.52 Mg/m³

abc: 4.954 4.954 4.954
angles: 90.00 90.00 90.00
Positions (direct):
1 Sr 0.000 0.000 0.000
2 Cd 0.500 0.500 0.500
3 Os 0.000 0.500 0.500
4 Os 0.500 0.000 0.500
5 Os 0.500 0.500 0.000

=====

Record 17
# SrCd3Os

An optimized crystal structure of SrCd3Os (PBE-GGA, Alexandria via LeMat-Bulk).

Summary:
SG = Pm-3m, No. 221
energy of formation from the pure elements = 0.24 eV/atom
magnetic moment = 0.000 μB per formula unit
theoretical density = 7.13 Mg/m³

abc: 5.233 5.233 5.233
angles: 90.00 90.00 90.00
Positions (direct):
1 Sr 0.000 0.000 0.000
2 Cd 0.000 0.500 0.500
3 Cd 0.500 0.000 0.500
4 Cd 0.500 0.500 0.000
5 Os 0.500 0.500 0.500

=====

Record 18
# SrCdOs3

An optimized crystal structure of SrCdOs3 (PBE-GGA, Alexandria via LeMat-Bulk).

Summary:
SG = Pm-3m, No. 221
energy of formation from the pure elements = 3.39 eV/atom
magnetic moment = 3.771 μB per formula unit
theoretical density = 10.84 Mg/m³

abc: 4.905 4.905 4.905
angles: 90.00 90.00 90.00
Positions (direct):
1 Sr 0.000 0.000 0.000
2 Cd 0.500 0.500 0.500
3 Os 0.000 0.000 0.500
4 Os 0.000 0.500 0.000
5 Os 0.500 0.000 0.000

=====

Record 19
# SrCd3Os

An optimized crystal structure of SrCd3Os (PBE-GGA, Alexandria via LeMat-Bulk).

Summary:
SG = Pm-3m, No. 221
energy of formation from the pure elements = 1.88 eV/atom
magnetic moment = 2.608 μB per formula unit
theoretical density = 4.38 Mg/m³

abc: 6.153 6.153 6.153
angles: 90.00 90.00 90.00
Positions (direct):
1 Sr 0.000 0.000 0.000
2 Cd 0.000 0.000 0.500
3 Cd 0.000 0.500 0.000
4 Cd 0.500 0.000 0.000
5 Os 0.500 0.500 0.500

=====

Record 20
# TaCdOs2

An optimized crystal structure of TaCdOs2 (PBE-GGA, Alexandria via LeMat-Bulk).

Summary:
SG = F-43m, No. 216
energy of formation from the pure elements = 0.59 eV/atom
magnetic moment = 0.000 μB per formula unit
theoretical density = 16.95 Mg/m³

abc: 4.536 4.536 4.536
angles: 60.00 60.00 60.00
Positions (direct):
1 Ta 0.000 0.000 0.000
2 Cd 0.750 0.750 0.750
3 Os 0.250 0.250 0.250
4 Os 0.500 0.500 0.500